DFT (PBE+U) results for crystalline Ta2CoF at its relaxed geometry.

Cell: 6.0412 6.0412 6.0412 Å, 90.00 90.00 90.00°
Space group Fm-3m (No. 225)
One atom of each set of equivalent atoms:
Ta: 0.2500 0.2500 0.2500
Co: 0.0000 0.0000 0.0000
F: 0.0000 0.0000 0.5000

Results
**Crystal system**: cubic
**VASP energy**: -0.563 Ry per atom
**Relative energy among the computed polymorphs**: 0 meV/atom
**Magnetization**: 0.00 μB/cell